# BaThSi2S8

A relaxed BaThSi2S8 crystal (PBE, the Alexandria database).

The volume comes out at 313 Å³/f.u. For the formation energy (no corrections), the calculation gives -0.97 eV/atom.

The space group is P-3 (No. 147) and the conventional cell measures 6.2138, 6.2138 and 9.3538 Å, with angles of 90.00, 90.00 and 120.00 degrees. The distinct sites, in fractional coordinates, are Ba at (0.0000, 0.0000, 0.0000), Th at (0.0000, 0.0000, 0.5000), Si at (0.3333, 0.6667, 0.7566), S at (0.0013, 0.3409, 0.6936) and S at (0.3333, 0.6667, 0.9834).